Below is a relaxed La2PuAu6 crystal, with properties calculated at the PBE level.

Output
Space group: P6/mmm (191)
E_tot (eV for the cell shown): -50.10

Structure (POSCAR):
```
La2PuAu6
1.0
8.317 0.000 0.000
-4.159 7.203 0.000
0.000 0.000 3.584
La Pu Au
2 1 6
Cartesian
0.000 4.802 0.000
4.159 2.401 0.000
0.000 0.000 0.000
-1.380 2.391 1.792
-2.778 4.812 1.792
2.761 0.000 1.792
1.380 2.391 1.792
5.556 0.000 1.792
2.778 4.812 1.792
```